[1]
{
  "formula": "La2ZnHgIr",
  "functional": "GGA-PBE",
  "state": "relaxed",
  "cell": [[7.7726, 0.0000, 0.0000], [0.0000, 4.3550, 0.0000], [-2.7167, 0.0000, 7.6839]],
  "species": ["La", "La", "La", "La", "Zn", "Zn", "Hg", "Hg", "Ir", "Ir"],
  "frac_coords": [[0.1333, 0.2500, 0.3452], [0.2752, 0.2500, 0.9611], [0.7248, 0.7500, 0.0389], [0.8667, 0.7500, 0.6548], [0.4489, 0.7500, 0.3303], [0.5511, 0.2500, 0.6697], [0.3183, 0.7500, 0.6642], [0.6817, 0.2500, 0.3358], [0.1274, 0.7500, 0.1032], [0.8726, 0.2500, 0.8968]]
}

---

[2]
{
  "formula": "ScReRu",
  "functional": "GGA-PBE",
  "state": "relaxed",
  "cell": [[2.9413, 0.0000, 0.0000], [0.0000, 2.9413, 0.0000], [0.0000, 0.0000, 11.5581]],
  "species": ["Sc", "Sc", "Re", "Re", "Ru", "Ru"],
  "frac_coords": [[0.0000, 0.0000, 0.0000], [0.5000, 0.5000, 0.5000], [0.0000, 0.0000, 0.3128], [0.5000, 0.5000, 0.8128], [0.0000, 0.0000, 0.6804], [0.5000, 0.5000, 0.1804]]
}

---

[3]
{
  "formula": "Ca2NiW",
  "functional": "GGA-PBE",
  "state": "relaxed",
  "cell": [[4.1871, 0.0000, 0.0000], [0.0000, 4.1871, 0.0000], [0.0000, 0.0000, 9.3422]],
  "species": ["Ca", "Ca", "Ca", "Ca", "Ni", "Ni", "W", "W"],
  "frac_coords": [[0.0000, 0.5000, 0.2500], [0.0000, 0.5000, 0.7500], [0.5000, 0.0000, 0.2500], [0.5000, 0.0000, 0.7500], [0.0000, 0.0000, 0.0000], [0.5000, 0.5000, 0.5000], [0.0000, 0.0000, 0.5000], [0.5000, 0.5000, 0.0000]]
}

---

[4]
{
  "formula": "KNa2",
  "functional": "GGA-PBE",
  "state": "relaxed",
  "cell": [[0.0000, 5.2266, 5.2266], [5.2266, 0.0000, 5.2266], [5.2266, 5.2266, 0.0000]],
  "species": ["K", "K", "Na", "Na", "Na", "Na"],
  "frac_coords": [[0.1250, 0.1250, 0.1250], [0.8750, 0.8750, 0.8750], [0.0000, 0.5000, 0.5000], [0.5000, 0.0000, 0.5000], [0.5000, 0.5000, 0.0000], [0.5000, 0.5000, 0.5000]]
}

---

Raw total energy (eV/atom)
-4.62, -9.47, -4.75, -1.25